[1]
Entry from OQMD via LeMat-Bulk: crystalline DyErHg2 at its relaxed geometry (PBE-GGA).

Summary:
The crystal system is orthorhombic. As for the polymorph energy (0 for the lowest one): 0.764 eV/f.u.

Geometry as CIF:
```
data_DyErHg2
_cell_length_a 5.454
_cell_length_b 12.076
_cell_length_c 6.317
_cell_angle_alpha 90.00
_cell_angle_beta 90.00
_cell_angle_gamma 90.00
_space_group_name_H-M_alt 'A m a 2'
_space_group_IT_number 40
_space_group_name_Hall 'A 2 -2a'
loop_
_atom_site_label
_atom_site_type_symbol
_atom_site_fract_x
_atom_site_fract_y
_atom_site_fract_z
Dy1 Dy 0.250 0.160 0.000
Er1 Er 0.250 0.422 0.178
Hg1 Hg 0.250 0.174 0.493
Hg2 Hg 0.250 0.418 0.690
```

---

[2]
Entry from OQMD via LeMat-Bulk: crystalline Tb2InAg4 at its relaxed geometry (PBE-GGA).

Summary:
The crystal system is tetragonal.

Geometry as CIF:
```
data_Tb2InAg4
_cell_length_a 5.030
_cell_length_b 5.030
_cell_length_c 15.272
_cell_angle_alpha 90.00
_cell_angle_beta 90.00
_cell_angle_gamma 90.00
_space_group_name_H-M_alt 'I 4/m m m'
_space_group_IT_number 139
_space_group_name_Hall '-I 4 2'
loop_
_atom_site_label
_atom_site_type_symbol
_atom_site_fract_x
_atom_site_fract_y
_atom_site_fract_z
Tb1 Tb 0.000 0.000 0.127
In1 In 0.000 0.000 0.500
Ag1 Ag 0.000 0.000 0.318
Ag2 Ag 0.000 0.500 0.000
```

---

[3]
Entry from OQMD via LeMat-Bulk: crystalline PmCo at its relaxed geometry (PBE-GGA).

Summary:
The crystal system is hexagonal.

Geometry as CIF:
```
data_PmCo
_cell_length_a 4.2811
_cell_length_b 4.2811
_cell_length_c 6.8059
_cell_angle_alpha 90.00
_cell_angle_beta 90.00
_cell_angle_gamma 120.00
_space_group_name_H-M_alt 'P 63 m c'
_space_group_IT_number 186
_space_group_name_Hall 'P 6c -2c'
loop_
_atom_site_label
_atom_site_type_symbol
_atom_site_fract_x
_atom_site_fract_y
_atom_site_fract_z
Pm1 Pm 0.3333 0.6667 0.0000
Co1 Co 0.3333 0.6667 0.6247
```

---

no.,calculated total energy (eV/cell)
1,-43.705
2,-43.069
3,-20.402